Entry 1:
Here is crystalline Gd2SbP at its relaxed geometry from the Alexandria database. Energies are from PBE.

a b c (Å): 4.206 4.206 7.443
angles (deg): 73.59 73.59 60.00
Sites, in units of the cell vectors:
Sb 0.500 0.500 0.500
Gd 0.742 0.742 0.775
Gd 0.258 0.258 0.225
P 0.000 0.000 0.000

Values from the calculation:
SG = R-3m, No. 166
Energy relative to the elements, uncorrected = -1349 meV/atom

Entry 2:
Here is crystalline GdSc2P at its relaxed geometry from the Alexandria database. Energies are from PBE.

a b c (Å): 3.607 3.607 9.085
angles (deg): 78.55 78.55 60.00
Sites, in units of the cell vectors:
Sc 0.277 0.277 0.170
Sc 0.723 0.723 0.830
P 0.000 0.000 0.000
Gd 0.500 0.500 0.500

Values from the calculation:
Formation energy = -0.66 eV per atom
SG = R-3m, No. 166

Entry 3:
Here is crystalline Gd2SiP at its relaxed geometry from the Alexandria database. Energies are from PBE.

a b c (Å): 3.982 3.982 7.446
angles (deg): 74.49 74.49 60.00
Sites, in units of the cell vectors:
P 0.000 0.000 0.000
Si 0.500 0.500 0.500
Gd 0.745 0.745 0.766
Gd 0.255 0.255 0.234

Values from the calculation:
SG = R-3m, No. 166
Energy relative to the elements, uncorrected = -1021 meV/atom

Entry 4:
Here is crystalline SmGdP2 at its relaxed geometry from the Alexandria database. Energies are from PBE.

a b c (Å): 4.083 4.083 7.064
angles (deg): 73.20 73.20 60.00
Sites, in units of the cell vectors:
P 0.249 0.249 0.254
P 0.751 0.751 0.746
Gd 0.500 0.500 0.500
Sm 0.000 0.000 0.000

Values from the calculation:
Formation energy = -1.58 eV per atom
SG = R-3m, No. 166

Entry 5:
Here is crystalline SmGdP at its relaxed geometry from the Alexandria database. Energies are from PBE.

a b c (Å): 3.938 3.938 6.514
angles (deg): 90.00 90.00 120.00
Sites, in units of the cell vectors:
P 0.667 0.333 0.337
Gd 0.333 0.667 0.582
Sm 0.000 0.000 0.081

Values from the calculation:
ΔE to the lowest computed polymorph = 0 meV per atom
Formation energy = -0.97 eV per atom
SG = P3m1, No. 156

Entry 6:
Here is crystalline SmGd2P at its relaxed geometry from the Alexandria database. Energies are from PBE.

a b c (Å): 3.820 3.820 9.802
angles (deg): 78.76 78.76 60.00
Sites, in units of the cell vectors:
P 0.000 0.000 0.000
Gd 0.275 0.275 0.176
Gd 0.725 0.725 0.824
Sm 0.500 0.500 0.500

Values from the calculation:
Formation energy = -0.68 eV per atom
SG = R-3m, No. 166

Entry 7:
Here is crystalline SmGdP at its relaxed geometry from the Alexandria database. Energies are from PBE.

a b c (Å): 4.781 4.781 4.781
angles (deg): 60.00 60.00 60.00
Sites, in units of the cell vectors:
P 0.250 0.250 0.250
Gd 0.500 0.500 0.500
Sm 0.000 0.000 0.000

Values from the calculation:
ΔE to the lowest computed polymorph = 110 meV per atom
Formation energy = -0.86 eV per atom
SG = F-43m, No. 216

Entry 8:
Here is crystalline SrGdP at its relaxed geometry from the Alexandria database. Energies are from PBE.

a b c (Å): 6.918 4.142 4.142
angles (deg): 120.00 90.00 90.00
Sites, in units of the cell vectors:
Sr 0.748 0.667 0.333
Gd 0.226 0.333 0.667
P 0.026 0.000 0.000

Values from the calculation:
Formation energy = -0.87 eV per atom
SG = P3m1, No. 156

Entry 9:
Here is crystalline SrGdP2 at its relaxed geometry from the Alexandria database. Energies are from PBE.

a b c (Å): 4.181 4.181 7.374
angles (deg): 73.53 73.53 60.00
Sites, in units of the cell vectors:
Sr 0.500 0.500 0.500
Gd 0.000 0.000 0.000
P 0.260 0.260 0.221
P 0.740 0.740 0.779

Values from the calculation:
Formation energy = -1.15 eV per atom
SG = R-3m, No. 166

Entry 10:
Here is crystalline Sr2GdP at its relaxed geometry from the Alexandria database. Energies are from PBE.

a b c (Å): 4.206 4.206 11.429
angles (deg): 79.40 79.40 60.00
Sites, in units of the cell vectors:
Sr 0.118 0.118 0.647
Sr 0.882 0.882 0.353
Gd 0.000 0.000 0.000
P 0.500 0.500 0.500

Values from the calculation:
Formation energy = -0.29 eV per atom
SG = R-3m, No. 166

Entry 11:
Here is crystalline Tb3GdP at its relaxed geometry from the Alexandria database. Energies are from PBE.

a b c (Å): 5.417 5.417 5.417
angles (deg): 90.00 90.00 90.00
Sites, in units of the cell vectors:
P 0.000 0.000 0.000
Gd 0.500 0.500 0.500
Tb 0.000 0.500 0.000
Tb 0.000 0.000 0.500
Tb 0.500 0.000 0.000

Values from the calculation:
Formation energy = -0.41 eV per atom
SG = Pm-3m, No. 221

Entry 12:
Here is crystalline Tb2GdP at its relaxed geometry from the Alexandria database. Energies are from PBE.

a b c (Å): 3.757 3.757 10.390
angles (deg): 79.58 79.58 60.00
Sites, in units of the cell vectors:
P 0.500 0.500 0.500
Gd 0.000 0.000 0.000
Tb 0.887 0.887 0.339
Tb 0.113 0.113 0.661

Values from the calculation:
Formation energy = -0.53 eV per atom
SG = R-3m, No. 166

Entry 13:
Here is crystalline TbGdP at its relaxed geometry from the Alexandria database. Energies are from PBE.

a b c (Å): 3.901 3.901 6.450
angles (deg): 90.00 90.00 120.00
Sites, in units of the cell vectors:
P 0.667 0.333 0.332
Gd 0.333 0.667 0.586
Tb 0.000 0.000 0.082

Values from the calculation:
Formation energy = -0.98 eV per atom
SG = P3m1, No. 156

Entry 14:
Here is crystalline TbGdP2 at its relaxed geometry from the Alexandria database. Energies are from PBE.

a b c (Å): 4.042 4.042 6.996
angles (deg): 73.21 73.21 60.00
Sites, in units of the cell vectors:
P 0.250 0.250 0.249
P 0.750 0.750 0.751
Gd 0.500 0.500 0.500
Tb 0.000 0.000 0.000

Values from the calculation:
Formation energy = -1.60 eV per atom
SG = R-3m, No. 166

Entry 15:
Here is crystalline TbGd2P at its relaxed geometry from the Alexandria database. Energies are from PBE.

a b c (Å): 3.822 3.822 9.738
angles (deg): 78.68 78.68 60.00
Sites, in units of the cell vectors:
P 0.000 0.000 0.000
Gd 0.274 0.274 0.177
Gd 0.726 0.726 0.823
Tb 0.500 0.500 0.500

Values from the calculation:
Formation energy = -0.67 eV per atom
SG = R-3m, No. 166

Entry 16:
Here is crystalline Gd2TeP at its relaxed geometry from the Alexandria database. Energies are from PBE.

a b c (Å): 4.161 4.161 7.501
angles (deg): 73.90 73.90 60.00
Sites, in units of the cell vectors:
P 0.000 0.000 0.000
Gd 0.263 0.263 0.212
Gd 0.737 0.737 0.788
Te 0.500 0.500 0.500

Values from the calculation:
SG = R-3m, No. 166
Energy relative to the elements, uncorrected = -1583 meV/atom

Entry 17:
Here is crystalline GdTe2P at its relaxed geometry from the Alexandria database. Energies are from PBE.

a b c (Å): 3.949 3.949 9.551
angles (deg): 78.07 78.07 60.00
Sites, in units of the cell vectors:
P 0.500 0.500 0.500
Gd 0.000 0.000 0.000
Te 0.110 0.110 0.671
Te 0.890 0.890 0.329

Values from the calculation:
SG = R-3m, No. 166
Energy relative to the elements, uncorrected = 40 meV/atom

Entry 18:
Here is crystalline Gd2ThP at its relaxed geometry from the Alexandria database. Energies are from PBE.

a b c (Å): 3.688 3.688 10.583
angles (deg): 79.96 79.96 60.00
Sites, in units of the cell vectors:
P 0.500 0.500 0.500
Gd 0.112 0.112 0.663
Gd 0.888 0.888 0.337
Th 0.000 0.000 0.000

Values from the calculation:
Formation energy = -0.46 eV per atom
SG = R-3m, No. 166

Entry 19:
Here is crystalline GdThP at its relaxed geometry from the Alexandria database. Energies are from PBE.

a b c (Å): 6.532 3.920 3.920
angles (deg): 120.00 90.00 90.00
Sites, in units of the cell vectors:
P 0.994 0.000 0.000
Gd 0.745 0.667 0.333
Th 0.261 0.333 0.667

Values from the calculation:
Formation energy = -0.87 eV per atom
SG = P3m1, No. 156

Entry 20:
Here is crystalline GdTiP2 at its relaxed geometry from the Alexandria database. Energies are from PBE.

a b c (Å): 3.761 3.761 6.573
angles (deg): 73.37 73.37 60.00
Sites, in units of the cell vectors:
P 0.261 0.261 0.217
P 0.739 0.739 0.783
Gd 0.500 0.500 0.500
Ti 0.000 0.000 0.000

Values from the calculation:
Formation energy = -1.30 eV per atom
SG = R-3m, No. 166

Entry 21:
Here is crystalline Gd3TlP at its relaxed geometry from the Alexandria database. Energies are from PBE.

a b c (Å): 5.307 5.307 5.307
angles (deg): 90.00 90.00 90.00
Sites, in units of the cell vectors:
P 0.000 0.000 0.000
Tl 0.500 0.500 0.500
Gd 0.000 0.500 0.000
Gd 0.000 0.000 0.500
Gd 0.500 0.000 0.000

Values from the calculation:
Formation energy = -0.67 eV per atom
SG = Pm-3m, No. 221

Entry 22:
Here is crystalline GdTmP2 at its relaxed geometry from the Alexandria database. Energies are from PBE.

a b c (Å): 4.002 4.002 6.926
angles (deg): 73.21 73.21 60.00
Sites, in units of the cell vectors:
Gd 0.500 0.500 0.500
P 0.252 0.252 0.244
P 0.748 0.748 0.756
Tm 0.000 0.000 0.000

Values from the calculation:
Formation energy = -1.60 eV per atom
SG = R-3m, No. 166

Entry 23:
Here is crystalline GdTm2P at its relaxed geometry from the Alexandria database. Energies are from PBE.

a b c (Å): 3.689 3.689 10.258
angles (deg): 79.64 79.64 60.00
Sites, in units of the cell vectors:
Gd 0.000 0.000 0.000
P 0.500 0.500 0.500
Tm 0.113 0.113 0.661
Tm 0.887 0.887 0.339

Values from the calculation:
Formation energy = -0.52 eV per atom
SG = R-3m, No. 166

Entry 24:
Here is crystalline GdUP2 at its relaxed geometry from the Alexandria database. Energies are from PBE.

a b c (Å): 3.967 3.967 6.995
angles (deg): 73.53 73.53 60.00
Sites, in units of the cell vectors:
P 0.253 0.253 0.242
P 0.747 0.747 0.758
Gd 0.500 0.500 0.500
U 0.000 0.000 0.000

Values from the calculation:
Formation energy = -1.28 eV per atom
SG = R-3m, No. 166

Entry 25:
Here is crystalline GdUP at its relaxed geometry from the Alexandria database. Energies are from PBE.

a b c (Å): 6.513 3.735 3.735
angles (deg): 120.00 90.00 90.00
Sites, in units of the cell vectors:
P 0.003 0.000 0.000
Gd 0.734 0.667 0.333
U 0.264 0.333 0.667

Values from the calculation:
Formation energy = -0.46 eV per atom
SG = P3m1, No. 156

Entry 26:
Here is crystalline GdVP2 at its relaxed geometry from the Alexandria database. Energies are from PBE.

a b c (Å): 3.362 3.362 8.676
angles (deg): 78.83 78.83 60.00
Sites, in units of the cell vectors:
P 0.109 0.109 0.672
P 0.891 0.891 0.328
Gd 0.000 0.000 0.000
V 0.500 0.500 0.500

Values from the calculation:
Formation energy = -0.19 eV per atom
SG = R-3m, No. 166

Entry 27:
Here is crystalline GdY2P at its relaxed geometry from the Alexandria database. Energies are from PBE.

a b c (Å): 3.761 3.761 10.343
angles (deg): 79.52 79.52 60.00
Sites, in units of the cell vectors:
Y 0.113 0.113 0.660
Y 0.887 0.887 0.340
P 0.500 0.500 0.500
Gd 0.000 0.000 0.000

Values from the calculation:
Formation energy = -0.55 eV per atom
SG = R-3m, No. 166

Entry 28:
Here is crystalline Gd2ZnP at its relaxed geometry from the Alexandria database. Energies are from PBE.

a b c (Å): 3.985 3.985 7.652
angles (deg): 74.91 74.91 60.00
Sites, in units of the cell vectors:
P 0.000 0.000 0.000
Zn 0.500 0.500 0.500
Gd 0.260 0.260 0.220
Gd 0.740 0.740 0.780

Values from the calculation:
Formation energy = -0.85 eV per atom
SG = R-3m, No. 166

Entry 29:
Here is crystalline GdZrP2 at its relaxed geometry from the Alexandria database. Energies are from PBE.

a b c (Å): 3.863 3.863 6.787
angles (deg): 73.47 73.47 60.00
Sites, in units of the cell vectors:
P 0.256 0.256 0.233
P 0.744 0.744 0.767
Gd 0.500 0.500 0.500
Zr 0.000 0.000 0.000

Values from the calculation:
Formation energy = -1.49 eV per atom
SG = R-3m, No. 166

Entry 30:
Here is crystalline GdPa5 at its relaxed geometry from the Alexandria database. Energies are from PBE.

a b c (Å): 4.678 4.643 7.446
angles (deg): 108.16 90.00 90.00
Sites, in units of the cell vectors:
Gd 0.000 0.000 0.000
Pa 0.000 0.669 0.338
Pa 0.000 0.331 0.662
Pa 0.500 0.500 0.000
Pa 0.500 0.167 0.334
Pa 0.500 0.833 0.666

Values from the calculation:
Formation energy = 0.11 eV per atom
SG = Cmmm, No. 65

Entry 31:
Here is crystalline Gd2Pa at its relaxed geometry from the Alexandria database. Energies are from PBE.

a b c (Å): 3.408 3.408 7.976
angles (deg): 102.33 102.33 90.00
Sites, in units of the cell vectors:
Gd 0.154 0.154 0.309
Gd 0.846 0.846 0.691
Pa 0.500 0.500 0.000

Values from the calculation:
Formation energy = 0.15 eV per atom
SG = I4/mmm, No. 139